Entry 1:
## RbMo2RuC (PBE)

Data for a relaxed structure of RbMo2RuC.

The volume is 81.31 Å³ per cell. As for the energy relative to the elements: 1.34 eV per atom. The density of states at the Fermi level comes out at 6.16 states/eV/f.u. For the calculated total energy, the calculation gives -6.8824 eV per atom.

Cell lengths 4.3518, 4.3518, 4.2934 Å; angles 90.00, 90.00, 90.00 degrees
Fractional positions:
Rb: 0.0000 0.0000 0.0000
Mo: 0.0000 0.5000 0.5000
Mo: 0.5000 0.0000 0.5000
Ru: 0.5000 0.5000 0.0000
C: 0.5000 0.5000 0.5000

Entry 2:
## RbTcMoC2 (PBE)

Data for a relaxed structure of RbTcMoC2.

The volume is 90.35 Å³ per cell. As for the energy relative to the elements: 1.98 eV per atom. The density of states at the Fermi level comes out at 5.06 states/eV/f.u. For the calculated total energy, the calculation gives -6.1398 eV per atom.

Cell lengths 4.2759, 4.2759, 4.9414 Å; angles 90.00, 90.00, 90.00 degrees
Fractional positions:
Rb: 0.0000 0.0000 0.0000
Tc: 0.5000 0.5000 0.0000
Mo: 0.5000 0.5000 0.5000
C: 0.0000 0.5000 0.5000
C: 0.5000 0.0000 0.5000

Entry 3:
## RbYMo2C (PBE)

Data for a relaxed structure of RbYMo2C.

The volume is 115.06 Å³ per cell. As for the energy relative to the elements: 3.72 eV per atom. The density of states at the Fermi level comes out at 5.68 states/eV/f.u. For the calculated total energy, the calculation gives -3.9413 eV per atom.

Cell lengths 4.6093, 4.6093, 5.4160 Å; angles 90.00, 90.00, 90.00 degrees
Fractional positions:
Rb: 0.0000 0.0000 0.0000
Y: 0.0000 0.0000 0.5000
Mo: 0.0000 0.5000 0.0000
Mo: 0.5000 0.0000 0.0000
C: 0.5000 0.5000 0.5000

Entry 4:
## ReMoC3 (PBE)

Data for a relaxed structure of ReMoC3.

The volume is 63.05 Å³ per cell. As for the energy relative to the elements: 1.99 eV per atom. The relative energy among the computed polymorphs comes out at 0 meV/atom. The density of states at the Fermi level comes out at 4.43 states/eV/f.u. For the calculated total energy, the calculation gives -8.1992 eV per atom.

Cell lengths 3.9801, 3.9801, 3.9801 Å; angles 90.00, 90.00, 90.00 degrees
Fractional positions:
Re: 0.0000 0.0000 0.0000
Mo: 0.5000 0.5000 0.5000
C: 0.0000 0.0000 0.5000
C: 0.0000 0.5000 0.0000
C: 0.5000 0.0000 0.0000

Entry 5:
## ReMoC3 (PBE)

Data for a relaxed structure of ReMoC3.

The volume is 62.54 Å³ per cell. As for the energy relative to the elements: 2.59 eV per atom. The relative energy among the computed polymorphs comes out at 603 meV/atom. The density of states at the Fermi level comes out at 8.38 states/eV/f.u. For the calculated total energy, the calculation gives -7.5962 eV per atom.

Cell lengths 3.9694, 3.9694, 3.9694 Å; angles 90.00, 90.00, 90.00 degrees
Fractional positions:
Re: 0.0000 0.0000 0.0000
Mo: 0.5000 0.5000 0.5000
C: 0.0000 0.5000 0.5000
C: 0.5000 0.0000 0.5000
C: 0.5000 0.5000 0.0000

Entry 6:
## Re3MoC (PBE)

Data for a relaxed structure of Re3MoC.

The volume is 68.32 Å³ per cell. As for the energy relative to the elements: 0.21 eV per atom. The relative energy among the computed polymorphs comes out at 0 meV/atom. The density of states at the Fermi level comes out at 2.58 states/eV/f.u. For the calculated total energy, the calculation gives -11.2716 eV per atom.

Cell lengths 4.0881, 4.0881, 4.0881 Å; angles 90.00, 90.00, 90.00 degrees
Fractional positions:
Re: 0.0000 0.0000 0.5000
Re: 0.0000 0.5000 0.0000
Re: 0.5000 0.0000 0.0000
Mo: 0.5000 0.5000 0.5000
C: 0.0000 0.0000 0.0000

Entry 7:
## Re2MoC (PBE)

Data for a relaxed structure of Re2MoC.

The volume is 131.09 Å³ per cell. As for the energy relative to the elements: 1.03 eV per atom. The density of states at the Fermi level comes out at 4.17 states/eV/f.u. For the calculated total energy, the calculation gives -10.2096 eV per atom.

Cell lengths 5.8494, 5.8494, 5.8494 Å; angles 124.32, 124.32, 82.66 degrees
Fractional positions:
Re: 0.0411 0.6250 0.9161
Re: 0.3750 0.2911 0.4161
Re: 0.7089 0.1250 0.0839
Re: 0.8750 0.9589 0.5839
Mo: 0.2500 0.7500 0.5000
Mo: 0.5000 0.5000 0.0000
C: 0.0000 0.0000 0.0000
C: 0.7500 0.2500 0.5000

Entry 8:
## Re3MoC (PBE)

Data for a relaxed structure of Re3MoC.

The volume is 103.72 Å³ per cell. As for the energy relative to the elements: 3.58 eV per atom. The relative energy among the computed polymorphs comes out at 3369 meV/atom. The density of states at the Fermi level comes out at 4.64 states/eV/f.u. For the calculated total energy, the calculation gives -7.9026 eV per atom.

Cell lengths 4.6984, 4.6984, 4.6984 Å; angles 90.00, 90.00, 90.00 degrees
Fractional positions:
Re: 0.0000 0.0000 0.5000
Re: 0.0000 0.5000 0.0000
Re: 0.5000 0.0000 0.0000
Mo: 0.0000 0.0000 0.0000
C: 0.5000 0.5000 0.5000

Entry 9:
## ReMo2C (PBE)

Data for a relaxed structure of ReMo2C.

The volume is 53.64 Å³ per cell. As for the energy relative to the elements: 0.23 eV per atom. The density of states at the Fermi level comes out at 2.36 states/eV/f.u. For the calculated total energy, the calculation gives -10.6056 eV per atom.

Cell lengths 7.1535, 7.1535, 7.1535 Å; angles 24.10, 24.10, 24.10 degrees
Fractional positions:
Re: 0.0000 0.0000 0.0000
Mo: 0.5505 0.5505 0.5505
Mo: 0.7739 0.7739 0.7739
C: 0.2758 0.2758 0.2758

Entry 10:
## ReMo2C (PBE)

Data for a relaxed structure of ReMo2C.

The volume is 111.81 Å³ per cell. As for the energy relative to the elements: 0.38 eV per atom. The density of states at the Fermi level comes out at 2.63 states/eV/f.u. For the calculated total energy, the calculation gives -10.4534 eV per atom.

Cell lengths 5.5095, 5.5095, 5.5095 Å; angles 99.05, 99.05, 133.25 degrees
Fractional positions:
Re: 0.0000 0.0000 0.0000
Re: 0.7500 0.2500 0.5000
Mo: 0.2355 0.6250 0.1105
Mo: 0.3750 0.4855 0.6105
Mo: 0.5145 0.1250 0.8895
Mo: 0.8750 0.7645 0.3895
C: 0.2500 0.7500 0.5000
C: 0.5000 0.5000 0.0000

Entry 11:
## ReMoC2Se (PBE)

Data for a relaxed structure of ReMoC2Se.

The volume is 81.90 Å³ per cell. The density of states at the Fermi level comes out at 5.16 states/eV/f.u. For the calculated total energy, the calculation gives -7.5300 eV per atom.

Cell lengths 3.9066, 3.9066, 5.3665 Å; angles 90.00, 90.00, 90.00 degrees
Fractional positions:
Re: 0.0000 0.0000 0.0000
Mo: 0.0000 0.0000 0.5000
C: 0.0000 0.5000 0.0000
C: 0.5000 0.0000 0.0000
Se: 0.5000 0.5000 0.5000

Entry 12:
## Zn2ReMoC (PBE)

Data for a relaxed structure of Zn2ReMoC.

The volume is 68.39 Å³ per cell. As for the energy relative to the elements: 0.83 eV per atom. The density of states at the Fermi level comes out at 3.87 states/eV/f.u. For the calculated total energy, the calculation gives -6.1840 eV per atom.

Cell lengths 4.1105, 4.1105, 4.0476 Å; angles 90.00, 90.00, 90.00 degrees
Fractional positions:
Zn: 0.0000 0.5000 0.0000
Zn: 0.5000 0.0000 0.0000
Re: 0.0000 0.0000 0.5000
Mo: 0.5000 0.5000 0.5000
C: 0.0000 0.0000 0.0000

Entry 13:
## Mo3Rh2C (PBE)

Data for a relaxed structure of Mo3Rh2C.

The volume is 324.56 Å³ per cell. As for the energy relative to the elements: -0.09 eV per atom. The density of states at the Fermi level comes out at 5.95 states/eV/f.u. For the calculated total energy, the calculation gives -9.4914 eV per atom.

Cell lengths 6.8722, 6.8722, 6.8722 Å; angles 90.00, 90.00, 90.00 degrees
Fractional positions:
Mo: 0.0487 0.1250 0.7987
Mo: 0.1250 0.7987 0.0487
Mo: 0.2013 0.5487 0.3750
Mo: 0.2987 0.4513 0.8750
Mo: 0.3750 0.2013 0.5487
Mo: 0.4513 0.8750 0.2987
Mo: 0.5487 0.3750 0.2013
Mo: 0.6250 0.7013 0.9513
Mo: 0.7013 0.9513 0.6250
Mo: 0.7987 0.0487 0.1250
Mo: 0.8750 0.2987 0.4513
Mo: 0.9513 0.6250 0.7013
Rh: 0.0622 0.9378 0.4378
Rh: 0.1878 0.1878 0.1878
Rh: 0.3122 0.8122 0.6878
Rh: 0.4378 0.0622 0.9378
Rh: 0.5622 0.5622 0.5622
Rh: 0.6878 0.3122 0.8122
Rh: 0.8122 0.6878 0.3122
Rh: 0.9378 0.4378 0.0622
C: 0.1250 0.3750 0.6250
C: 0.3750 0.6250 0.1250
C: 0.6250 0.1250 0.3750
C: 0.8750 0.8750 0.8750

Entry 14:
## Mo3RhC (PBE)

Data for a relaxed structure of Mo3RhC.

The volume is 138.01 Å³ per cell. As for the energy relative to the elements: 0.05 eV per atom. The relative energy among the computed polymorphs comes out at 6 meV/atom. The density of states at the Fermi level comes out at 4.00 states/eV/f.u. For the calculated total energy, the calculation gives -9.7613 eV per atom.

Cell lengths 5.5136, 5.5136, 5.3560 Å; angles 90.00, 90.00, 122.04 degrees
Fractional positions:
Mo: 0.0443 0.9557 0.5000
Mo: 0.0535 0.4538 0.6452
Mo: 0.4538 0.0535 0.1452
Mo: 0.5462 0.9465 0.6452
Mo: 0.9465 0.5462 0.1452
Mo: 0.9557 0.0443 0.0000
Rh: 0.4569 0.5431 0.2779
Rh: 0.5431 0.4569 0.7780
C: 0.1646 0.8354 0.8448
C: 0.8354 0.1646 0.3448

Entry 15:
## Mo3RhC (PBE)

Data for a relaxed structure of Mo3RhC.

The volume is 102.58 Å³ per cell. As for the energy relative to the elements: 2.93 eV per atom. The relative energy among the computed polymorphs comes out at 2886 meV/atom. The density of states at the Fermi level comes out at 6.36 states/eV/f.u. For the calculated total energy, the calculation gives -6.8811 eV per atom.

Cell lengths 4.6811, 4.6811, 4.6811 Å; angles 90.00, 90.00, 90.00 degrees
Fractional positions:
Mo: 0.0000 0.0000 0.5000
Mo: 0.0000 0.5000 0.0000
Mo: 0.5000 0.0000 0.0000
Rh: 0.0000 0.0000 0.0000
C: 0.5000 0.5000 0.5000

Entry 16:
## Mo2Rh2C (PBE)

Data for a relaxed structure of Mo2Rh2C.

The volume is 66.27 Å³ per cell. As for the energy relative to the elements: -0.08 eV per atom. The density of states at the Fermi level comes out at 3.56 states/eV/f.u. For the calculated total energy, the calculation gives -9.2004 eV per atom.

Cell lengths 9.3710, 9.3710, 9.3710 Å; angles 17.68, 17.68, 17.68 degrees
Fractional positions:
Mo: 0.1188 0.1188 0.1188
Mo: 0.8812 0.8812 0.8812
Rh: 0.3754 0.3754 0.3754
Rh: 0.6246 0.6246 0.6246
C: 0.5000 0.5000 0.5000

Entry 17:
## MoRhC2 (PBE)

Data for a relaxed structure of MoRhC2.

The volume is 100.86 Å³ per cell. As for the energy relative to the elements: 0.52 eV per atom. The relative energy among the computed polymorphs comes out at 0 meV/atom. The density of states at the Fermi level comes out at 1.31 states/eV/f.u. For the calculated total energy, the calculation gives -8.6335 eV per atom.

Cell lengths 5.6824, 5.6824, 5.6824 Å; angles 131.47, 131.47, 71.06 degrees
Fractional positions:
Mo: 0.0000 0.0000 0.0000
Mo: 0.7500 0.2500 0.5000
Rh: 0.2500 0.7500 0.5000
Rh: 0.5000 0.5000 0.0000
C: 0.1262 0.6250 0.0012
C: 0.3750 0.3762 0.5012
C: 0.6238 0.1250 0.9988
C: 0.8750 0.8738 0.4988

Entry 18:
## MoRhC3 (PBE)

Data for a relaxed structure of MoRhC3.

The volume is 65.53 Å³ per cell. As for the energy relative to the elements: 2.18 eV per atom. The relative energy among the computed polymorphs comes out at 0 meV/atom. The density of states at the Fermi level comes out at 4.57 states/eV/f.u. For the calculated total energy, the calculation gives -6.9950 eV per atom.

Cell lengths 4.0316, 4.0316, 4.0316 Å; angles 90.00, 90.00, 90.00 degrees
Fractional positions:
Mo: 0.0000 0.0000 0.0000
Rh: 0.5000 0.5000 0.5000
C: 0.0000 0.0000 0.5000
C: 0.0000 0.5000 0.0000
C: 0.5000 0.0000 0.0000

Entry 19:
## MoRh3C (PBE)

Data for a relaxed structure of MoRh3C.

The volume is 68.38 Å³ per cell. As for the energy relative to the elements: 0.37 eV per atom. The relative energy among the computed polymorphs comes out at 0 meV/atom. The density of states at the Fermi level comes out at 2.48 states/eV/f.u. For the calculated total energy, the calculation gives -8.0535 eV per atom.

Cell lengths 4.0892, 4.0892, 4.0892 Å; angles 90.00, 90.00, 90.00 degrees
Fractional positions:
Mo: 0.0000 0.0000 0.0000
Rh: 0.0000 0.5000 0.5000
Rh: 0.5000 0.0000 0.5000
Rh: 0.5000 0.5000 0.0000
C: 0.5000 0.5000 0.5000

Entry 20:
## MoRh3C (PBE)

Data for a relaxed structure of MoRh3C.

The volume is 100.91 Å³ per cell. As for the energy relative to the elements: 2.46 eV per atom. The relative energy among the computed polymorphs comes out at 2090 meV/atom. The density of states at the Fermi level comes out at 3.56 states/eV/f.u. For the calculated total energy, the calculation gives -5.9637 eV per atom.

Cell lengths 4.6557, 4.6557, 4.6557 Å; angles 90.00, 90.00, 90.00 degrees
Fractional positions:
Mo: 0.0000 0.0000 0.0000
Rh: 0.0000 0.0000 0.5000
Rh: 0.0000 0.5000 0.0000
Rh: 0.5000 0.0000 0.0000
C: 0.5000 0.5000 0.5000